The following is a GGA-PBE calculation of a geometry-optimized LaDy2YHo5 structure, from Alexandria.

Its formation energy is 284 meV per atom.

Structure (extended XYZ):
```
18
Lattice="-4.484 4.484 7.346 4.484 -4.484 7.346 4.484 4.484 -7.346" Properties=species:S:1:pos:R:3 pbc="T T T"
La 0.000 0.000 3.673
La 0.000 0.000 11.019
Dy 5.490 1.006 0.000
Dy 1.006 3.477 0.000
Dy 3.477 1.006 7.346
Dy -1.006 3.477 7.346
Y 4.484 0.000 3.673
Y 0.000 4.484 3.673
Ho 0.000 0.000 0.000
Ho 2.644 1.839 -1.909
Ho 2.644 -1.839 5.438
Ho 2.644 1.839 1.909
Ho 2.644 -1.839 9.255
Ho 0.000 0.000 7.346
Ho 1.839 6.323 -1.909
Ho 1.839 2.644 5.438
Ho 1.839 6.323 1.909
Ho 1.839 2.644 9.255
```



The following is a GGA-PBE calculation of a geometry-optimized La2DyY2Ho2 structure, from Alexandria.

Its formation energy is 84 meV per atom.

Structure (extended XYZ):
```
14
Lattice="11.832 0.000 0.000 0.000 3.530 0.000 -3.828 0.000 11.295" Properties=species:S:1:pos:R:3 pbc="T T T"
La 1.713 0.000 0.958
La 0.375 1.765 10.337
La 7.629 1.765 0.958
La 6.291 0.000 10.337
Dy -1.914 1.765 5.647
Dy 4.002 0.000 5.647
Y -2.382 0.000 8.668
Y 4.470 1.765 2.627
Y 3.534 1.765 8.668
Y 10.386 0.000 2.627
Ho 1.299 1.765 4.155
Ho 0.789 0.000 7.140
Ho 7.215 0.000 4.155
Ho 6.705 1.765 7.140
```



The following is a GGA-PBE calculation of a geometry-optimized La2DyY6Ho structure, from Alexandria.

Its formation energy is 117 meV per atom.

Structure (extended XYZ):
```
20
Lattice="4.542 -7.486 0.000 4.542 7.486 0.000 -1.963 0.000 9.787" Properties=species:S:1:pos:R:3 pbc="T T T"
La 2.086 0.709 0.440
La 1.104 -0.709 5.333
La 6.017 0.709 4.454
La 5.036 -0.709 9.347
Dy 3.070 1.454 7.340
Dy 4.052 -1.454 2.447
Y 2.372 4.196 1.834
Y 2.810 4.630 5.448
Y 3.330 4.630 9.232
Y 2.896 1.541 3.742
Y 5.731 4.196 3.060
Y 5.207 1.541 1.151
Y 1.915 -1.541 8.636
Y 1.391 -4.196 6.727
Y 4.225 -1.541 6.045
Y 3.792 -4.630 0.555
Y 4.311 -4.630 4.339
Y 4.749 -4.196 7.953
Ho 4.052 7.283 2.447
Ho 3.070 -7.283 7.340
```



The following is a GGA-PBE calculation of a geometry-optimized La3DyY2Ho6 structure, from Alexandria.

Its formation energy is 24 meV per atom.

Structure (extended XYZ):
```
12
Lattice="3.112 -5.392 0.000 3.112 5.392 0.000 -2.074 0.000 11.672" Properties=species:S:1:pos:R:3 pbc="T T T"
La 0.000 0.000 0.000
La 3.112 1.799 0.000
La 3.112 -1.799 0.000
Dy 2.076 0.000 5.836
Y 2.076 3.594 5.836
Y 2.076 -3.594 5.836
Ho 1.042 1.793 2.976
Ho 0.003 0.000 8.698
Ho 1.042 -1.793 2.976
Ho 3.109 1.793 8.696
Ho 4.148 0.000 2.975
Ho 3.109 -1.793 8.696
```



The following is a GGA-PBE calculation of a geometry-optimized La2DyY4Ho2 structure, from Alexandria.

Its formation energy is -2 meV per atom.

Structure (extended XYZ):
```
9
Lattice="9.405 -1.816 0.000 9.405 1.816 0.000 -4.179 0.000 8.675" Properties=species:S:1:pos:R:3 pbc="T T T"
La 1.033 0.000 4.306
La 13.599 0.000 4.368
Dy 7.316 0.000 4.337
Y -3.122 0.000 7.261
Y 5.224 0.000 1.419
Y 9.407 0.000 7.256
Y 17.753 0.000 1.414
Ho 3.133 0.000 7.266
Ho 11.498 0.000 1.409
```



The following is a GGA-PBE calculation of a geometry-optimized LaDy2Y6Ho structure, from Alexandria.

Its formation energy is 119 meV per atom.

Structure (extended XYZ):
```
20
Lattice="4.599 -7.536 0.000 4.599 7.536 0.000 -1.094 0.000 9.511" Properties=species:S:1:pos:R:3 pbc="T T T"
La 3.779 7.104 7.133
La 4.326 -7.104 2.378
Dy 1.704 0.780 5.237
Dy 2.251 -0.780 0.482
Dy 5.854 0.780 9.029
Dy 6.401 -0.780 4.273
Y 1.895 4.131 6.483
Y 3.956 4.745 0.549
Y 4.695 4.745 4.206
Y 2.739 1.652 8.421
Y 5.663 4.131 7.783
Y 4.819 1.652 5.845
Y 3.286 -1.652 3.665
Y 2.441 -4.131 1.728
Y 5.366 -1.652 1.090
Y 3.409 -4.745 5.304
Y 4.149 -4.745 8.962
Y 6.210 -4.131 3.028
Ho 4.326 1.349 2.378
Ho 3.779 -1.349 7.133
```



The following is a GGA-PBE calculation of a geometry-optimized LaDy2Y2Ho2 structure, from Alexandria.

Its formation energy is 99 meV per atom.

Structure (extended XYZ):
```
14
Lattice="11.710 0.000 0.000 0.000 3.522 0.000 -3.793 0.000 11.192" Properties=species:S:1:pos:R:3 pbc="T T T"
La 0.000 0.000 0.000
La 5.855 1.761 0.000
Dy -0.204 1.761 6.512
Dy 2.266 0.000 4.680
Dy 5.651 0.000 6.512
Dy 8.121 1.761 4.680
Y -0.430 1.761 3.084
Y 2.492 0.000 8.109
Y 5.425 0.000 3.084
Y 8.347 1.761 8.109
Ho -0.636 0.000 9.592
Ho 2.698 1.761 1.600
Ho 5.219 1.761 9.592
Ho 8.553 0.000 1.600
```



The following is a GGA-PBE calculation of a geometry-optimized La2DyYHo structure, from Alexandria.

Its formation energy is 412 meV per atom.

Structure (extended XYZ):
```
10
Lattice="4.207 -5.863 0.000 4.207 5.863 0.000 0.000 0.000 7.337" Properties=species:S:1:pos:R:3 pbc="T T T"
La 1.651 0.000 0.000
La 1.651 0.000 3.668
La 6.762 0.000 0.000
La 6.762 0.000 3.668
Dy 4.207 0.354 5.502
Dy 4.207 -0.354 1.834
Y 4.207 2.920 1.834
Y 4.207 -2.920 5.502
Ho 4.207 3.389 5.502
Ho 4.207 -3.389 1.834
```



The following is a GGA-PBE calculation of a geometry-optimized La2Dy6Y3Ho structure, from Alexandria.

Its formation energy is 23 meV per atom.

Structure (extended XYZ):
```
12
Lattice="3.105 -5.376 0.000 3.105 5.376 0.000 -2.065 0.000 11.689" Properties=species:S:1:pos:R:3 pbc="T T T"
La 3.105 3.588 0.000
La 3.105 -3.588 0.000
Dy 0.004 1.785 8.731
Dy 1.049 0.000 2.961
Dy 0.004 -1.785 8.731
Dy 4.141 1.785 2.958
Dy 3.095 0.000 8.728
Dy 4.141 -1.785 2.958
Y -1.032 0.000 5.844
Y 2.072 1.788 5.844
Y 2.072 -1.788 5.844
Ho 3.105 0.000 0.000
```



The following is a GGA-PBE calculation of a geometry-optimized LaDyY2Ho2 structure, from Alexandria.

Its formation energy is 268 meV per atom.

Structure (extended XYZ):
```
12
Lattice="6.536 0.000 0.000 0.000 17.980 0.000 0.000 0.000 3.405" Properties=species:S:1:pos:R:3 pbc="T T T"
La 0.000 0.000 0.000
La 3.268 8.990 1.702
Dy 0.000 8.990 0.000
Dy 3.268 0.000 1.702
Y 1.411 3.392 0.000
Y 1.858 12.382 1.702
Y 4.679 5.598 1.702
Y 5.126 14.588 0.000
Ho 1.394 6.352 1.702
Ho 1.874 15.342 0.000
Ho 4.662 2.638 0.000
Ho 5.143 11.628 1.702
```



The following is a GGA-PBE calculation of a geometry-optimized La2Dy3YHo6 structure, from Alexandria.

Its formation energy is 23 meV per atom.

Structure (extended XYZ):
```
12
Lattice="3.095 -5.359 0.000 3.095 5.359 0.000 -2.057 0.000 11.633" Properties=species:S:1:pos:R:3 pbc="T T T"
La 3.095 3.574 0.000
La 3.095 -3.574 0.000
Dy -1.028 0.000 5.816
Dy 2.067 1.784 5.816
Dy 2.067 -1.784 5.816
Y 3.095 0.000 0.000
Ho 0.003 1.783 8.673
Ho 1.042 0.000 2.963
Ho 0.003 -1.783 8.673
Ho 4.130 1.783 2.960
Ho 3.092 0.000 8.670
Ho 4.130 -1.783 2.960
```



The following is a GGA-PBE calculation of a geometry-optimized La5DyYHo2 structure, from Alexandria.

Its formation energy is 129 meV per atom.

Structure (extended XYZ):
```
18
Lattice="2.754 -10.915 0.000 2.754 10.915 0.000 0.000 0.000 10.616" Properties=species:S:1:pos:R:3 pbc="T T T"
La 2.754 -10.913 0.000
La 2.754 10.913 5.308
La 2.754 8.226 7.960
La 2.754 6.103 0.628
La 2.754 6.092 4.667
La 2.754 0.013 7.961
La 2.754 -0.013 2.654
La 2.754 -6.092 9.975
La 2.754 -6.103 5.936
La 2.754 -8.226 2.652
Dy 2.754 4.601 7.956
Dy 2.754 -4.601 2.648
Y 2.754 8.717 2.654
Y 2.754 -8.717 7.962
Ho 2.754 2.481 0.009
Ho 2.754 2.473 5.298
Ho 2.754 -2.473 10.606
Ho 2.754 -2.481 5.317
```



The following is a GGA-PBE calculation of a geometry-optimized La2Dy2Y6Ho structure, from Alexandria.

Its formation energy is 184 meV per atom.

Structure (extended XYZ):
```
11
Lattice="3.121 -5.259 0.000 3.121 5.259 0.000 -1.535 0.000 11.633" Properties=species:S:1:pos:R:3 pbc="T T T"
La 3.121 3.361 0.000
La 3.121 -3.361 0.000
Dy 2.353 1.726 5.817
Dy 2.353 -1.726 5.817
Y 0.309 1.756 8.638
Y 1.302 0.000 2.890
Y 0.309 -1.756 8.638
Y 4.397 1.756 2.995
Y 3.405 0.000 8.743
Y 4.397 -1.756 2.995
Ho -0.767 0.000 5.817
```



The following is a GGA-PBE calculation of a geometry-optimized LaDy2YHo2 structure, from Alexandria.

Its formation energy is 277 meV per atom.

Structure (extended XYZ):
```
12
Lattice="6.583 0.000 0.000 0.000 17.823 0.000 0.000 0.000 3.395" Properties=species:S:1:pos:R:3 pbc="T T T"
La 0.000 0.000 0.000
La 3.292 8.912 1.697
Dy 1.454 6.249 1.697
Dy 1.837 15.160 0.000
Dy 4.746 2.663 0.000
Dy 5.129 11.574 1.697
Y 0.000 8.912 0.000
Y 3.292 0.000 1.697
Ho 1.476 3.305 0.000
Ho 1.816 12.217 1.697
Ho 4.768 5.606 1.697
Ho 5.107 14.518 0.000
```



The following is a GGA-PBE calculation of a geometry-optimized LaDy3Y2Ho6 structure, from Alexandria.

Its formation energy is 23 meV per atom.

Structure (extended XYZ):
```
12
Lattice="3.079 -5.330 0.000 3.079 5.330 0.000 -2.044 0.000 11.616" Properties=species:S:1:pos:R:3 pbc="T T T"
La 0.000 0.000 0.000
Dy 2.057 3.549 5.808
Dy 2.057 0.000 5.808
Dy 2.057 -3.549 5.808
Y 3.079 1.776 0.000
Y 3.079 -1.776 0.000
Ho 1.033 1.780 2.942
Ho 0.009 0.000 8.673
Ho 1.033 -1.780 2.942
Ho 3.081 1.780 8.674
Ho 4.105 0.000 2.942
Ho 3.081 -1.780 8.674
```



The following is a GGA-PBE calculation of a geometry-optimized La6Dy2YHo structure, from Alexandria.

Its formation energy is 194 meV per atom.

Structure (extended XYZ):
```
10
Lattice="5.719 -3.546 0.000 5.719 3.546 0.000 -2.337 0.000 8.770" Properties=species:S:1:pos:R:3 pbc="T T T"
La 3.122 1.573 1.710
La 0.509 0.000 3.751
La 5.978 1.573 7.060
La 3.122 -1.573 1.710
La 8.591 0.000 5.019
La 5.978 -1.573 7.060
Dy 2.830 0.000 7.299
Dy 6.269 0.000 1.471
Y 4.550 0.000 4.385
Ho 0.000 0.000 0.000
```



The following is a GGA-PBE calculation of a geometry-optimized LaDyHoZr structure, from Alexandria.

Its formation energy is 221 meV per atom.

Structure (extended XYZ):
```
16
Lattice="7.837 0.000 0.000 0.000 7.837 0.000 0.000 0.000 7.837" Properties=species:S:1:pos:R:3 pbc="T T T"
La 0.000 0.000 0.000
La 0.000 3.918 3.918
La 3.918 0.000 3.918
La 3.918 3.918 0.000
Dy 1.959 1.959 5.877
Dy 1.959 5.877 1.959
Dy 5.877 1.959 1.959
Dy 5.877 5.877 5.877
Ho 1.959 1.959 1.959
Ho 1.959 5.877 5.877
Ho 5.877 1.959 5.877
Ho 5.877 5.877 1.959
Zr 0.000 0.000 3.918
Zr 0.000 3.918 0.000
Zr 3.918 0.000 0.000
Zr 3.918 3.918 3.918
```



The following is a GGA-PBE calculation of a geometry-optimized LiDyHo2 structure, from Alexandria.

Its formation energy is 183 meV per atom.

Structure (extended XYZ):
```
12
Lattice="3.443 0.000 0.000 -1.721 2.982 0.000 0.000 0.000 36.243" Properties=species:S:1:pos:R:3 pbc="T T T"
Li 0.000 0.000 0.000
Li 0.000 1.988 24.162
Li 1.721 0.994 12.081
Dy 0.000 0.000 18.122
Dy 0.000 1.988 6.041
Dy 1.721 0.994 30.203
Ho 0.000 0.000 3.216
Ho 0.000 0.000 33.028
Ho 0.000 1.988 20.946
Ho 0.000 1.988 27.378
Ho 1.721 0.994 8.865
Ho 1.721 0.994 15.297
```



The following is a GGA-PBE calculation of a geometry-optimized Li2DyHo structure, from Alexandria.

Its formation energy is 157 meV per atom.

Structure (extended XYZ):
```
16
Lattice="7.399 0.000 0.000 0.000 7.399 0.000 0.000 0.000 7.399" Properties=species:S:1:pos:R:3 pbc="T T T"
Li 1.850 1.850 1.850
Li 1.850 1.850 5.549
Li 1.850 5.549 1.850
Li 1.850 5.549 5.549
Li 5.549 1.850 1.850
Li 5.549 1.850 5.549
Li 5.549 5.549 1.850
Li 5.549 5.549 5.549
Dy 0.000 0.000 0.000
Dy 0.000 3.699 3.699
Dy 3.699 0.000 3.699
Dy 3.699 3.699 0.000
Ho 0.000 0.000 3.699
Ho 0.000 3.699 0.000
Ho 3.699 0.000 0.000
Ho 3.699 3.699 3.699
```



The following is a GGA-PBE calculation of a geometry-optimized LiDyHo2 structure, from Alexandria.

Its formation energy is 95 meV per atom.

Structure (extended XYZ):
```
12
Lattice="3.492 0.000 0.000 -1.746 3.024 0.000 0.000 0.000 33.361" Properties=species:S:1:pos:R:3 pbc="T T T"
Li 0.000 0.000 0.000
Li 0.000 2.016 22.240
Li 1.746 1.008 11.120
Dy 0.000 0.000 27.803
Dy 0.000 2.016 16.683
Dy 1.746 1.008 5.562
Ho 0.000 0.000 13.851
Ho 0.000 0.000 19.515
Ho 0.000 2.016 2.731
Ho 0.000 2.016 8.395
Ho 1.746 1.008 24.972
Ho 1.746 1.008 30.635
```